No. 1
! Rb2CuH4C4O10 (meta-GGA SCAN, single point on PBEsol structure); values from VASP
! Total DFT energy (no corrections) ... -9.57 eV/atom
! M_tot ... 1.98 μB/cell
&SYSTEM
  ibrav = 0, nat = 42, ntyp = 5
/
ATOMIC_SPECIES
Rb 85.47 Rb.upf
Cu 63.55 Cu.upf
H 1.01 H.upf
C 12.01 C.upf
O 16.00 O.upf
CELL_PARAMETERS angstrom
7.004 -0.361 0.022
-1.689 9.344 0.081
-1.068 -2.947 8.195
ATOMIC_POSITIONS crystal
Rb 0.615 0.858 0.833
Rb 0.385 0.142 0.167
Rb 0.741 0.484 0.875
Rb 0.259 0.516 0.125
Cu 0.000 0.000 0.500
Cu 0.500 0.500 0.500
H 0.488 0.197 0.564
H 0.512 0.803 0.436
H 0.711 0.250 0.522
H 0.289 0.750 0.478
H 0.136 0.855 0.925
H 0.864 0.145 0.075
H 0.158 0.836 0.743
H 0.842 0.164 0.257
C 0.945 0.863 0.176
C 0.055 0.137 0.824
C 0.737 0.826 0.221
C 0.263 0.174 0.779
C 0.793 0.550 0.325
C 0.207 0.450 0.675
C 0.882 0.648 0.505
C 0.118 0.352 0.495
O 0.088 0.949 0.293
O 0.912 0.051 0.707
O 0.962 0.807 0.031
O 0.038 0.193 0.969
O 0.735 0.884 0.374
O 0.265 0.116 0.626
O 0.590 0.744 0.115
O 0.410 0.256 0.885
O 0.609 0.472 0.301
O 0.391 0.528 0.699
O 0.895 0.552 0.218
O 0.105 0.448 0.782
O 0.769 0.630 0.607
O 0.231 0.370 0.393
O 0.053 0.739 0.542
O 0.947 0.261 0.458
O 0.578 0.268 0.523
O 0.422 0.732 0.477
O 0.228 0.893 0.858
O 0.772 0.107 0.142


No. 2
! Ca2SbPb (meta-GGA SCAN, single point on PBEsol structure); values from VASP
! M_tot ... 0.00 μB/cell
! Formation energy from raw total energies ... -0.80 eV per atom
! ΔE to the lowest computed polymorph ... 0.00 eV/f.u.
&SYSTEM
  ibrav = 0, nat = 4, ntyp = 3
/
ATOMIC_SPECIES
Pb 207.20 Pb.upf
Sb 121.76 Sb.upf
Ca 40.08 Ca.upf
CELL_PARAMETERS angstrom
5.017 0.000 0.000
-2.508 5.086 0.038
0.000 -2.520 4.354
ATOMIC_POSITIONS crystal
Pb 0.500 0.000 0.000
Sb 0.000 0.000 0.500
Ca 0.750 0.500 0.750
Ca 0.250 0.500 0.250


No. 3
! SrTcBr2 (meta-GGA SCAN, single point on PBEsol structure); values from VASP
! M_tot ... 0.50 μB/cell
! Formation energy from raw total energies ... -0.03 eV per atom
! ΔE to the lowest computed polymorph ... 1.40 eV/f.u.
&SYSTEM
  ibrav = 0, nat = 4, ntyp = 3
/
ATOMIC_SPECIES
Sr 87.62 Sr.upf
Tc 98.00 Tc.upf
Br 79.90 Br.upf
CELL_PARAMETERS angstrom
3.991 0.000 0.000
1.996 3.457 0.000
1.996 1.152 8.287
ATOMIC_POSITIONS crystal
Sr 0.000 0.000 0.000
Tc 0.500 0.500 0.500
Br 0.879 0.879 0.364
Br 0.121 0.121 0.636


No. 4
! CdHg3Br (meta-GGA SCAN, single point on PBEsol structure); values from VASP
! M_tot ... 0.00 μB/cell
! Formation energy from raw total energies ... 0.36 eV per atom
&SYSTEM
  ibrav = 0, nat = 5, ntyp = 3
/
ATOMIC_SPECIES
Hg 200.59 Hg.upf
Br 79.90 Br.upf
Cd 112.41 Cd.upf
CELL_PARAMETERS angstrom
5.888 0.000 0.000
0.000 5.888 0.000
0.000 0.000 5.888
ATOMIC_POSITIONS crystal
Hg 0.000 0.500 0.000
Hg 0.000 0.000 0.500
Hg 0.500 0.000 0.000
Br 0.000 0.000 0.000
Cd 0.500 0.500 0.500


No. 5
! CsK2Na (meta-GGA SCAN, single point on PBEsol structure); values from VASP
! Formation energy ... 0.081 eV/atom
! M_tot ... 0.16 μB/cell
! ΔE to the lowest computed polymorph ... 0.21 eV/f.u.
&SYSTEM
  ibrav = 0, nat = 8, ntyp = 3
/
ATOMIC_SPECIES
Cs 132.91 Cs.upf
Na 22.99 Na.upf
K 39.10 K.upf
CELL_PARAMETERS angstrom
-1.710 -5.782 0.732
3.640 -1.655 -4.572
10.583 1.566 11.894
ATOMIC_POSITIONS crystal
Cs 0.250 0.750 0.500
Cs 0.000 0.000 0.000
Na 0.750 0.250 0.500
Na 0.500 0.500 0.000
K 0.397 0.875 0.250
K 0.853 0.375 0.250
K 0.125 0.147 0.750
K 0.625 0.603 0.750


No. 6
! TcSe2Cl (meta-GGA SCAN, single point on PBEsol structure); values from VASP
! M_tot ... 4.77 μB/cell
! Formation energy from raw total energies ... 0.48 eV per atom
! ΔE to the lowest computed polymorph ... 0.78 eV/f.u.
&SYSTEM
  ibrav = 0, nat = 4, ntyp = 3
/
ATOMIC_SPECIES
Tc 98.00 Tc.upf
Se 78.96 Se.upf
Cl 35.45 Cl.upf
CELL_PARAMETERS angstrom
-0.599 -1.366 3.427
-0.782 -3.346 -1.471
5.613 -1.484 0.390
ATOMIC_POSITIONS crystal
Tc 0.500 0.500 0.500
Se 0.000 0.500 0.000
Se 0.500 0.000 0.000
Cl 0.000 0.000 0.500


No. 7
! CrB3Br (meta-GGA SCAN, single point on PBEsol structure); values from VASP
! M_tot ... 3.24 μB/cell
! Formation energy from raw total energies ... 1.66 eV per atom
&SYSTEM
  ibrav = 0, nat = 5, ntyp = 3
/
ATOMIC_SPECIES
Cr 52.00 Cr.upf
B 10.81 B.upf
Br 79.90 Br.upf
CELL_PARAMETERS angstrom
4.089 0.000 0.000
0.000 4.089 0.000
0.000 0.000 4.089
ATOMIC_POSITIONS crystal
Cr 0.000 0.000 0.000
B 0.000 0.500 0.000
B 0.000 0.000 0.500
B 0.500 0.000 0.000
Br 0.500 0.500 0.500


No. 8
! Ta2OsSe (meta-GGA SCAN, single point on PBEsol structure); values from VASP
! M_tot ... 0.00 μB/cell
! Formation energy from raw total energies ... -0.04 eV per atom
&SYSTEM
  ibrav = 0, nat = 4, ntyp = 3
/
ATOMIC_SPECIES
Os 190.23 Os.upf
Se 78.96 Se.upf
Ta 180.95 Ta.upf
CELL_PARAMETERS angstrom
-1.159 -2.170 1.850
4.325 -1.542 0.899
-0.204 4.318 2.377
ATOMIC_POSITIONS crystal
Os 0.500 0.553 0.001
Se 0.754 0.201 0.507
Ta 0.012 0.062 0.025
Ta 0.233 0.684 0.467


No. 9
! LiBe2Rh2 (meta-GGA SCAN, single point on PBEsol structure); values from VASP
! Formation energy ... -0.630 eV/atom
! M_tot ... 0.00 μB/cell
&SYSTEM
  ibrav = 0, nat = 10, ntyp = 3
/
ATOMIC_SPECIES
Be 9.01 Be.upf
Rh 102.91 Rh.upf
Li 6.94 Li.upf
CELL_PARAMETERS angstrom
2.891 0.000 0.000
0.000 6.071 0.000
0.000 0.000 6.071
ATOMIC_POSITIONS crystal
Be 0.000 0.374 0.874
Be 0.000 0.874 0.626
Be 0.000 0.626 0.126
Be 0.000 0.126 0.374
Rh 0.500 0.168 0.668
Rh 0.500 0.668 0.832
Rh 0.500 0.832 0.332
Rh 0.500 0.332 0.168
Li 0.000 0.000 0.000
Li 0.000 0.500 0.500


No. 10
! Cs2NaIrF6 (meta-GGA SCAN, single point on PBEsol structure); values from VASP
! M_tot ... 0.17 μB/cell
! Formation energy from raw total energies ... -2.49 eV per atom
&SYSTEM
  ibrav = 0, nat = 10, ntyp = 4
/
ATOMIC_SPECIES
Cs 132.91 Cs.upf
Na 22.99 Na.upf
Ir 192.22 Ir.upf
F 19.00 F.upf
CELL_PARAMETERS angstrom
6.156 0.000 0.000
3.078 5.331 0.000
3.078 1.777 5.026
ATOMIC_POSITIONS crystal
Cs 0.250 0.250 0.250
Cs 0.750 0.750 0.750
Na 0.500 0.500 0.500
Ir 0.000 0.000 0.000
F 0.233 0.767 0.233
F 0.233 0.233 0.767
F 0.767 0.767 0.233
F 0.233 0.767 0.767
F 0.767 0.233 0.767
F 0.767 0.233 0.233


No. 11
! FeTeBr2 (meta-GGA SCAN, single point on PBEsol structure); values from VASP
! M_tot ... 3.30 μB/cell
! Formation energy from raw total energies ... 0.58 eV per atom
&SYSTEM
  ibrav = 0, nat = 4, ntyp = 3
/
ATOMIC_SPECIES
Br 79.90 Br.upf
Fe 55.84 Fe.upf
Te 127.60 Te.upf
CELL_PARAMETERS angstrom
3.363 0.000 0.000
0.000 5.171 0.000
0.000 0.000 5.171
ATOMIC_POSITIONS crystal
Br 0.000 0.000 0.500
Br 0.000 0.500 0.000
Fe 0.500 0.500 0.500
Te 0.500 0.000 0.000


No. 12
! CuP3O9 (meta-GGA SCAN, single point on PBEsol structure); values from VASP
! M_tot ... 0.14 μB/cell
! Formation energy from raw total energies ... -1.91 eV per atom
! ΔE to the lowest computed polymorph ... 1.09 eV/f.u.
&SYSTEM
  ibrav = 0, nat = 52, ntyp = 3
/
ATOMIC_SPECIES
Cu 63.55 Cu.upf
P 30.97 P.upf
O 16.00 O.upf
CELL_PARAMETERS angstrom
9.677 0.237 -0.026
-2.319 9.252 -0.144
-3.946 -4.334 7.525
ATOMIC_POSITIONS crystal
Cu 0.776 0.715 0.272
Cu 0.682 0.784 0.878
Cu 0.318 0.216 0.122
Cu 0.224 0.285 0.728
P 0.068 0.918 0.146
P 0.159 0.908 0.487
P 0.400 0.646 0.023
P 0.213 0.833 0.927
P 0.341 0.707 0.554
P 0.474 0.598 0.334
P 0.526 0.402 0.666
P 0.659 0.293 0.446
P 0.787 0.167 0.073
P 0.600 0.354 0.977
P 0.841 0.092 0.513
P 0.932 0.082 0.854
O 0.722 0.989 0.035
O 0.175 0.917 0.332
O 0.125 0.807 0.031
O 0.382 0.809 0.039
O 0.824 0.935 0.379
O 0.320 0.880 0.589
O 0.884 0.808 0.069
O 0.577 0.671 0.063
O 0.374 0.627 0.168
O 0.464 0.731 0.482
O 0.117 0.712 0.734
O 0.868 0.909 0.816
O 0.456 0.738 0.743
O 0.002 0.757 0.415
O 0.653 0.647 0.390
O 0.178 0.559 0.423
O 0.746 0.497 0.162
O 0.362 0.427 0.284
O 0.638 0.573 0.716
O 0.254 0.503 0.838
O 0.822 0.441 0.577
O 0.347 0.353 0.610
O 0.998 0.243 0.585
O 0.544 0.262 0.257
O 0.132 0.091 0.184
O 0.883 0.288 0.266
O 0.536 0.269 0.518
O 0.626 0.373 0.832
O 0.423 0.329 0.937
O 0.116 0.192 0.931
O 0.680 0.120 0.411
O 0.176 0.065 0.621
O 0.618 0.191 0.961
O 0.875 0.193 0.969
O 0.825 0.083 0.668
O 0.278 0.011 0.965


No. 13
! Zr2MnHg (meta-GGA SCAN, single point on PBEsol structure); values from VASP
! Formation energy ... 0.001 eV/atom
! M_tot ... 0.01 μB/cell
&SYSTEM
  ibrav = 0, nat = 4, ntyp = 3
/
ATOMIC_SPECIES
Hg 200.59 Hg.upf
Mn 54.94 Mn.upf
Zr 91.22 Zr.upf
CELL_PARAMETERS angstrom
3.232 0.000 0.000
1.616 2.799 0.000
1.616 0.933 8.422
ATOMIC_POSITIONS crystal
Hg 0.500 0.500 0.500
Mn 0.000 0.000 0.000
Zr 0.263 0.263 0.211
Zr 0.737 0.737 0.789


No. 14
! LiHg5 (meta-GGA SCAN, single point on PBEsol structure); values from VASP
! Formation energy ... -0.148 eV/atom
! M_tot ... 0.00 μB/cell
! ΔE to the lowest computed polymorph ... 0.00 eV/f.u.
&SYSTEM
  ibrav = 0, nat = 6, ntyp = 2
/
ATOMIC_SPECIES
Hg 200.59 Hg.upf
Li 6.94 Li.upf
CELL_PARAMETERS angstrom
-2.920 -0.303 1.731
-0.896 -2.815 -5.359
3.343 -4.182 4.908
ATOMIC_POSITIONS crystal
Hg 0.027 0.053 0.010
Hg 0.706 0.412 0.348
Hg 0.308 0.615 0.719
Hg 0.396 0.791 0.228
Hg 0.027 0.054 0.598
Li 0.704 0.408 0.931


No. 15
! YBe2Br (meta-GGA SCAN, single point on PBEsol structure); values from VASP
! M_tot ... 0.00 μB/cell
! Formation energy from raw total energies ... -0.26 eV per atom
! ΔE to the lowest computed polymorph ... 0.00 eV/f.u.
&SYSTEM
  ibrav = 0, nat = 4, ntyp = 3
/
ATOMIC_SPECIES
Y 88.91 Y.upf
Be 9.01 Be.upf
Br 79.90 Br.upf
CELL_PARAMETERS angstrom
3.689 0.000 0.000
-1.845 3.330 0.015
0.000 0.019 6.347
ATOMIC_POSITIONS crystal
Y 0.708 0.416 0.192
Be 0.044 0.088 0.926
Be 0.369 0.738 0.885
Br 0.379 0.757 0.498


No. 16
! Cd3Ag (meta-GGA SCAN, single point on PBEsol structure); values from VASP
! Formation energy ... -0.038 eV/atom
! M_tot ... 0.00 μB/cell
&SYSTEM
  ibrav = 0, nat = 4, ntyp = 2
/
ATOMIC_SPECIES
Ag 107.87 Ag.upf
Cd 112.41 Cd.upf
CELL_PARAMETERS angstrom
-2.542 -0.657 -1.680
2.156 -3.811 -1.771
-1.847 -2.864 3.914
ATOMIC_POSITIONS crystal
Ag 0.000 0.000 0.998
Cd 0.000 0.500 0.328
Cd 0.500 0.000 0.499
Cd 0.500 0.500 0.841


No. 17
! MgReGe2Sb (meta-GGA SCAN, single point on PBEsol structure); values from VASP
! M_tot ... 3.75 μB/cell
! Formation energy from raw total energies ... 1.71 eV per atom
&SYSTEM
  ibrav = 0, nat = 5, ntyp = 4
/
ATOMIC_SPECIES
Re 186.21 Re.upf
Ge 72.64 Ge.upf
Mg 24.30 Mg.upf
Sb 121.76 Sb.upf
CELL_PARAMETERS angstrom
4.752 0.000 0.000
0.000 4.752 0.000
0.000 0.000 5.229
ATOMIC_POSITIONS crystal
Re 0.500 0.500 0.500
Ge 0.000 0.500 0.000
Ge 0.500 0.000 0.000
Mg 0.000 0.000 0.000
Sb 0.000 0.000 0.500


No. 18
! FeSe3S (meta-GGA SCAN, single point on PBEsol structure); values from VASP
! M_tot ... 3.57 μB/cell
! Formation energy from raw total energies ... 0.62 eV per atom
&SYSTEM
  ibrav = 0, nat = 5, ntyp = 3
/
ATOMIC_SPECIES
S 32.06 S.upf
Fe 55.84 Fe.upf
Se 78.96 Se.upf
CELL_PARAMETERS angstrom
-1.651 4.198 -0.723
-4.243 -1.552 0.679
0.378 0.916 4.459
ATOMIC_POSITIONS crystal
S 0.500 0.500 0.500
Fe 0.000 0.000 0.000
Se 0.000 0.500 0.000
Se 0.000 0.000 0.500
Se 0.500 0.000 0.000


No. 19
! CrAgCl (meta-GGA SCAN, single point on PBEsol structure); values from VASP
! M_tot ... 4.23 μB/cell
! Formation energy from raw total energies ... 0.17 eV per atom
&SYSTEM
  ibrav = 0, nat = 3, ntyp = 3
/
ATOMIC_SPECIES
Cr 52.00 Cr.upf
Ag 107.87 Ag.upf
Cl 35.45 Cl.upf
CELL_PARAMETERS angstrom
4.407 0.000 0.000
2.204 3.817 0.000
2.204 1.272 3.599
ATOMIC_POSITIONS crystal
Cr 0.250 0.250 0.250
Ag 0.000 0.000 0.000
Cl 0.500 0.500 0.500


No. 20
! HSeBr2 (meta-GGA SCAN, single point on PBEsol structure); values from VASP
! Total DFT energy (no corrections) ... -15.14 eV/atom
! M_tot ... 0.63 μB/cell
&SYSTEM
  ibrav = 0, nat = 4, ntyp = 3
/
ATOMIC_SPECIES
H 1.01 H.upf
Br 79.90 Br.upf
Se 78.96 Se.upf
CELL_PARAMETERS angstrom
3.461 0.000 0.000
1.731 2.997 0.000
1.731 0.999 7.959
ATOMIC_POSITIONS crystal
H 0.000 0.000 0.000
Br 0.929 0.929 0.214
Br 0.071 0.071 0.786
Se 0.500 0.500 0.500